Density functional theory data (PBE with a Hubbard U) for a geometry-optimized Na3Ca2CoO6 structure.

```
Na3Ca2CoO6
1.0
5.677 -0.015 -0.001
-2.850 4.910 -0.001
-0.944 -1.634 5.444
Na Ca Co O
3 2 1 6
direct
0.158 0.842 0.500
0.842 0.158 0.500
0.500 0.500 0.500
0.330 0.670 0.000
0.670 0.330 0.000
0.000 0.000 0.000
0.928 0.640 0.786
0.794 0.794 0.190
0.072 0.360 0.214
0.640 0.928 0.786
0.206 0.206 0.810
0.360 0.072 0.214
```

Output
V in Å³/f.u.: 152
Total magnetization in μB/f.u.: 2.1
VASP energy in eV/cell: -63.3
Symmetry: C2/m, No. 12